[1]
# GGA-PBE CeYN, optimized geometry
# Volume (Å³ per atom): 21.99
# D(E_F) (states/eV/cell): 5.62
# Space-group type: No. 156
# Uncorrected energy (eV/atom): -7.854
# Magnetization (Bohr magnetons per cell): 0.99
# Formation energy without anion corrections (eV/atom): -0.947
data_CeYN
_space_group_name_H-M_alt 'P 1'
_space_group_IT_number 1
_cell_length_a 6.2383
_cell_length_b 3.4947
_cell_length_c 3.4947
_cell_angle_alpha 120.00
_cell_angle_beta 90.00
_cell_angle_gamma 90.00
loop_
_space_group_symop_operation_xyz
'x,y,z'
loop_
_atom_site_label
_atom_site_type_symbol
_atom_site_fract_x
_atom_site_fract_y
_atom_site_fract_z
_atom_site_occupancy
Y1 Y 0.1159 0.0000 0.0000 1
Ce1 Ce 0.5559 0.3333 0.6667 1
N1 N 0.3282 0.6667 0.3333 1



[2]
# GGA-PBE Pr7Ni2Sn2, optimized geometry
# Volume (Å³ per atom): 30.85
# D(E_F) (states/eV/cell): 12.56
# Space-group type: No. 65
# Uncorrected energy (eV/atom): -5.091
# Magnetization (Bohr magnetons per cell): 0.00
# DFT formation energy (eV/f.u.): -3.0
data_Pr7Ni2Sn2
_space_group_name_H-M_alt 'P 1'
_space_group_IT_number 1
_cell_length_a 7.1221
_cell_length_b 7.0981
_cell_length_c 7.1221
_cell_angle_alpha 90.00
_cell_angle_beta 109.51
_cell_angle_gamma 90.00
loop_
_space_group_symop_operation_xyz
'x,y,z'
loop_
_atom_site_label
_atom_site_type_symbol
_atom_site_fract_x
_atom_site_fract_y
_atom_site_fract_z
_atom_site_occupancy
Pr1 Pr 0.9998 0.2521 0.5003 1
Pr2 Pr 0.5003 0.7479 0.9998 1
Pr3 Pr 0.0002 0.7479 0.4997 1
Pr4 Pr 0.4997 0.2521 0.0002 1
Pr5 Pr 0.0000 0.0000 0.0000 1
Pr6 Pr 0.5002 0.7690 0.4998 1
Pr7 Pr 0.4998 0.2310 0.5002 1
Ni1 Ni 0.7160 0.0000 0.2840 1
Ni2 Ni 0.2840 0.0000 0.7160 1
Sn1 Sn 0.8246 0.5000 0.8246 1
Sn2 Sn 0.1754 0.5000 0.1754 1



[3]
# GGA-PBE SiNi2Rh, optimized geometry
# Volume (Å³ per atom): 11.89
# D(E_F) (states/eV/cell): 4.73
# Space-group type: No. 47
# Uncorrected energy (eV/atom): -6.345
# Magnetization (Bohr magnetons per cell): 0.00
# Formation energy without anion corrections (eV/atom): -0.261
data_SiNi2Rh
_space_group_name_H-M_alt 'P 1'
_space_group_IT_number 1
_cell_length_a 2.6536
_cell_length_b 3.4152
_cell_length_c 5.2474
_cell_angle_alpha 90.00
_cell_angle_beta 90.00
_cell_angle_gamma 90.00
loop_
_space_group_symop_operation_xyz
'x,y,z'
loop_
_atom_site_label
_atom_site_type_symbol
_atom_site_fract_x
_atom_site_fract_y
_atom_site_fract_z
_atom_site_occupancy
Ni1 Ni 0.0000 0.0000 0.9794 1
Ni2 Ni 0.0000 0.0000 0.5206 1
Rh1 Rh 0.5000 0.5000 0.2500 1
Si1 Si 0.5000 0.5000 0.7500 1



[4]
# GGA-PBE DyHfHgPd, optimized geometry
# Volume (Å³ per atom): 21.62
# D(E_F) (states/eV/cell): 6.21
# Space-group type: No. 216
# Uncorrected energy (eV/atom): -5.386
# Magnetization (Bohr magnetons per cell): 0.00
# DFT formation energy (eV/f.u.): -1.5
data_DyHfHgPd
_space_group_name_H-M_alt 'P 1'
_space_group_IT_number 1
_cell_length_a 4.9636
_cell_length_b 4.9636
_cell_length_c 4.9636
_cell_angle_alpha 60.00
_cell_angle_beta 60.00
_cell_angle_gamma 60.00
loop_
_space_group_symop_operation_xyz
'x,y,z'
loop_
_atom_site_label
_atom_site_type_symbol
_atom_site_fract_x
_atom_site_fract_y
_atom_site_fract_z
_atom_site_occupancy
Hf1 Hf 0.2500 0.2500 0.2500 1
Hg1 Hg 0.5000 0.5000 0.5000 1
Pd1 Pd 0.0000 0.0000 0.0000 1
Dy1 Dy 0.7500 0.7500 0.7500 1



[5]
# GGA-PBE SrPm2O4, optimized geometry
# Volume (Å³ per atom): 16.11
# D(E_F) (states/eV/cell): 0.00
# Space-group type: No. 62
# Uncorrected energy (eV/atom): -7.621
# Magnetization (Bohr magnetons per cell): 0.00
# Formation energy without anion corrections (eV/atom): -3.190
data_SrPm2O4
_space_group_name_H-M_alt 'P 1'
_space_group_IT_number 1
_cell_length_a 3.5544
_cell_length_b 10.3113
_cell_length_c 12.3058
_cell_angle_alpha 90.00
_cell_angle_beta 90.00
_cell_angle_gamma 90.00
loop_
_space_group_symop_operation_xyz
'x,y,z'
loop_
_atom_site_label
_atom_site_type_symbol
_atom_site_fract_x
_atom_site_fract_y
_atom_site_fract_z
_atom_site_occupancy
Sr1 Sr 0.2500 0.7512 0.3531 1
Sr2 Sr 0.7500 0.2488 0.6469 1
Sr3 Sr 0.2500 0.2512 0.1469 1
Sr4 Sr 0.7500 0.7488 0.8531 1
Pm1 Pm 0.7500 0.0854 0.8892 1
Pm2 Pm 0.2500 0.9146 0.1108 1
Pm3 Pm 0.7500 0.5854 0.6108 1
Pm4 Pm 0.2500 0.4146 0.3892 1
Pm5 Pm 0.2500 0.4275 0.8857 1
Pm6 Pm 0.7500 0.5725 0.1143 1
Pm7 Pm 0.2500 0.9275 0.6143 1
Pm8 Pm 0.7500 0.0725 0.3857 1
O1 O 0.7500 0.0718 0.0807 1
O2 O 0.2500 0.9282 0.9193 1
O3 O 0.7500 0.5718 0.4193 1
O4 O 0.2500 0.4282 0.5807 1
O5 O 0.7500 0.9967 0.7148 1
O6 O 0.2500 0.0033 0.2852 1
O7 O 0.7500 0.4967 0.7852 1
O8 O 0.2500 0.5033 0.2148 1
O9 O 0.7500 0.3670 0.0176 1
O10 O 0.2500 0.6330 0.9824 1
O11 O 0.7500 0.8670 0.4824 1
O12 O 0.2500 0.1330 0.5176 1
O13 O 0.2500 0.2162 0.8175 1
O14 O 0.7500 0.7838 0.1825 1
O15 O 0.2500 0.7162 0.6825 1
O16 O 0.7500 0.2838 0.3175 1



[6]
# GGA-PBE CaCeBr2, optimized geometry
# Volume (Å³ per atom): 33.02
# D(E_F) (states/eV/cell): 6.29
# Space-group type: No. 166
# Uncorrected energy (eV/atom): -3.911
# Magnetization (Bohr magnetons per cell): 2.10
# Formation energy without anion corrections (eV/atom): -1.091
data_CaCeBr2
_space_group_name_H-M_alt 'P 1'
_space_group_IT_number 1
_cell_length_a 3.9382
_cell_length_b 3.9382
_cell_length_c 10.0937
_cell_angle_alpha 78.75
_cell_angle_beta 78.75
_cell_angle_gamma 60.00
loop_
_space_group_symop_operation_xyz
'x,y,z'
loop_
_atom_site_label
_atom_site_type_symbol
_atom_site_fract_x
_atom_site_fract_y
_atom_site_fract_z
_atom_site_occupancy
Ca1 Ca 0.5000 0.5000 0.5000 1
Br1 Br 0.1067 0.1067 0.6798 1
Br2 Br 0.8933 0.8933 0.3202 1
Ce1 Ce 0.0000 0.0000 0.0000 1



[7]
# GGA-PBE Fe2CoCu, optimized geometry
# Volume (Å³ per atom): 11.63
# D(E_F) (states/eV/cell): 4.89
# Space-group type: No. 160
# Uncorrected energy (eV/atom): -6.918
# Magnetization (Bohr magnetons per cell): 6.63
# DFT formation energy (eV/f.u.): 0.5
data_Fe2CoCu
_space_group_name_H-M_alt 'P 1'
_space_group_IT_number 1
_cell_length_a 2.5355
_cell_length_b 2.5355
_cell_length_c 8.4835
_cell_angle_alpha 81.41
_cell_angle_beta 81.41
_cell_angle_gamma 60.00
loop_
_space_group_symop_operation_xyz
'x,y,z'
loop_
_atom_site_label
_atom_site_type_symbol
_atom_site_fract_x
_atom_site_fract_y
_atom_site_fract_z
_atom_site_occupancy
Fe1 Fe 0.0812 0.0812 0.7565 1
Fe2 Fe 0.2521 0.2521 0.2437 1
Co1 Co 0.6667 0.6667 0.9999 1
Cu1 Cu 0.5001 0.5001 0.4998 1



[8]
# GGA-PBE CaH4I3N, optimized geometry
# Volume (Å³ per atom): 25.88
# D(E_F) (states/eV/cell): 0.00
# Space-group type: No. 62
# Uncorrected energy (eV/atom): -4.010
# Magnetization (Bohr magnetons per cell): 0.00
data_CaH4I3N
_space_group_name_H-M_alt 'P 1'
_space_group_IT_number 1
_cell_length_a 4.7004
_cell_length_b 10.7083
_cell_length_c 18.5127
_cell_angle_alpha 90.00
_cell_angle_beta 90.00
_cell_angle_gamma 90.00
loop_
_space_group_symop_operation_xyz
'x,y,z'
loop_
_atom_site_label
_atom_site_type_symbol
_atom_site_fract_x
_atom_site_fract_y
_atom_site_fract_z
_atom_site_occupancy
Ca1 Ca 0.7500 0.3502 0.5685 1
Ca2 Ca 0.2500 0.6498 0.4315 1
Ca3 Ca 0.7500 0.8502 0.9315 1
Ca4 Ca 0.2500 0.1498 0.0685 1
H1 H 0.4277 0.9547 0.7142 1
H2 H 0.9277 0.0453 0.2858 1
H3 H 0.0723 0.4547 0.7858 1
H4 H 0.5723 0.5453 0.2142 1
H5 H 0.5723 0.0453 0.2858 1
H6 H 0.0723 0.9547 0.7142 1
H7 H 0.9277 0.5453 0.2142 1
H8 H 0.4277 0.4547 0.7858 1
H9 H 0.7500 0.9136 0.2630 1
H10 H 0.2500 0.0864 0.7370 1
H11 H 0.7500 0.4136 0.2370 1
H12 H 0.2500 0.5864 0.7630 1
H13 H 0.7500 0.9584 0.3502 1
H14 H 0.2500 0.0416 0.6498 1
H15 H 0.7500 0.4584 0.1498 1
H16 H 0.2500 0.5416 0.8502 1
N1 N 0.2500 0.5098 0.7968 1
N2 N 0.7500 0.4902 0.2032 1
N3 N 0.2500 0.0098 0.7032 1
N4 N 0.7500 0.9902 0.2968 1
I1 I 0.7500 0.2834 0.7333 1
I2 I 0.2500 0.7166 0.2667 1
I3 I 0.7500 0.7834 0.7667 1
I4 I 0.2500 0.2166 0.2333 1
I5 I 0.2500 0.1655 0.5314 1
I6 I 0.7500 0.8345 0.4686 1
I7 I 0.2500 0.6655 0.9686 1
I8 I 0.7500 0.3345 0.0314 1
I9 I 0.7500 0.4493 0.4063 1
I10 I 0.2500 0.5507 0.5937 1
I11 I 0.7500 0.9493 0.0937 1
I12 I 0.2500 0.0507 0.9063 1



[9]
# GGA-PBE GaTeS2N, optimized geometry
# Volume (Å³ per atom): 18.15
# D(E_F) (states/eV/cell): 4.78
# Space-group type: No. 123
# Uncorrected energy (eV/atom): -3.833
# Magnetization (Bohr magnetons per cell): 0.00
# Formation energy without anion corrections (eV/atom): 0.717
data_GaTeS2N
_space_group_name_H-M_alt 'P 1'
_space_group_IT_number 1
_cell_length_a 4.9755
_cell_length_b 4.9755
_cell_length_c 3.6665
_cell_angle_alpha 90.00
_cell_angle_beta 90.00
_cell_angle_gamma 90.00
loop_
_space_group_symop_operation_xyz
'x,y,z'
loop_
_atom_site_label
_atom_site_type_symbol
_atom_site_fract_x
_atom_site_fract_y
_atom_site_fract_z
_atom_site_occupancy
S1 S 0.0000 0.5000 0.0000 1
S2 S 0.5000 0.0000 0.0000 1
Te1 Te 0.5000 0.5000 0.5000 1
Ga1 Ga 0.0000 0.0000 0.0000 1
N1 N 0.0000 0.0000 0.5000 1



[10]
# GGA-PBE Nd5Tm8In, optimized geometry
# Volume (Å³ per atom): 32.11
# D(E_F) (states/eV/cell): 20.83
# Space-group type: No. 5
# Uncorrected energy (eV/atom): -4.360
# Magnetization (Bohr magnetons per cell): 0.00
# DFT formation energy (eV/f.u.): 1.3
data_Nd5Tm8In
_space_group_name_H-M_alt 'P 1'
_space_group_IT_number 1
_cell_length_a 8.5257
_cell_length_b 8.3457
_cell_length_c 8.5257
_cell_angle_alpha 114.47
_cell_angle_beta 99.57
_cell_angle_gamma 115.94
loop_
_space_group_symop_operation_xyz
'x,y,z'
loop_
_atom_site_label
_atom_site_type_symbol
_atom_site_fract_x
_atom_site_fract_y
_atom_site_fract_z
_atom_site_occupancy
Nd1 Nd 0.9699 0.2845 0.1050 1
Nd2 Nd 0.8858 0.9658 0.2637 1
Nd3 Nd 0.8205 0.7155 0.6854 1
Nd4 Nd 0.5872 0.0000 0.5872 1
Nd5 Nd 0.2979 0.0342 0.9200 1
Tm1 Tm 0.2052 0.7202 0.0777 1
Tm2 Tm 0.1105 0.2305 0.7496 1
Tm3 Tm 0.6500 0.2165 0.3013 1
Tm4 Tm 0.6908 0.4537 0.9345 1
Tm5 Tm 0.4808 0.5463 0.2371 1
Tm6 Tm 0.5191 0.7695 0.8800 1
Tm7 Tm 0.3575 0.2798 0.4851 1
Tm8 Tm 0.0849 0.7835 0.4335 1
In1 In 0.0900 0.5000 0.5900 1



[11]
# GGA-PBE Ni2AgN, optimized geometry
# Volume (Å³ per atom): 14.71
# D(E_F) (states/eV/cell): 4.21
# Space-group type: No. 141
# Uncorrected energy (eV/atom): -5.380
# Magnetization (Bohr magnetons per cell): 0.00
# Formation energy without anion corrections (eV/atom): 0.305
data_Ni2AgN
_space_group_name_H-M_alt 'P 1'
_space_group_IT_number 1
_cell_length_a 4.7205
_cell_length_b 4.7205
_cell_length_c 6.2481
_cell_angle_alpha 67.81
_cell_angle_beta 67.81
_cell_angle_gamma 90.00
loop_
_space_group_symop_operation_xyz
'x,y,z'
loop_
_atom_site_label
_atom_site_type_symbol
_atom_site_fract_x
_atom_site_fract_y
_atom_site_fract_z
_atom_site_occupancy
Ni1 Ni 0.3742 0.1250 0.2500 1
Ni2 Ni 0.3758 0.6250 0.2500 1
Ni3 Ni 0.3750 0.6258 0.7500 1
Ni4 Ni 0.8750 0.6242 0.7500 1
Ag1 Ag 0.0000 0.0000 0.0000 1
Ag2 Ag 0.7500 0.2500 0.5000 1
N1 N 0.5000 0.5000 0.0000 1
N2 N 0.2500 0.7500 0.5000 1



Question: The highest D(E_F) belongs to which entry?
Answer: Nd5Tm8In



Copy entry 9 word for word.
# GGA-PBE GaTeS2N, optimized geometry
# Volume (Å³ per atom): 18.15
# D(E_F) (states/eV/cell): 4.78
# Space-group type: No. 123
# Uncorrected energy (eV/atom): -3.833
# Magnetization (Bohr magnetons per cell): 0.00
# Formation energy without anion corrections (eV/atom): 0.717
data_GaTeS2N
_space_group_name_H-M_alt 'P 1'
_space_group_IT_number 1
_cell_length_a 4.9755
_cell_length_b 4.9755
_cell_length_c 3.6665
_cell_angle_alpha 90.00
_cell_angle_beta 90.00
_cell_angle_gamma 90.00
loop_
_space_group_symop_operation_xyz
'x,y,z'
loop_
_atom_site_label
_atom_site_type_symbol
_atom_site_fract_x
_atom_site_fract_y
_atom_site_fract_z
_atom_site_occupancy
S1 S 0.0000 0.5000 0.0000 1
S2 S 0.5000 0.0000 0.0000 1
Te1 Te 0.5000 0.5000 0.5000 1
Ga1 Ga 0.0000 0.0000 0.0000 1
N1 N 0.0000 0.0000 0.5000 1